Record 1
# FeH2Pd2, relaxed, DFT PBE
# - calculated volume (A^3/atom) = 9.98
# - energy relative to the lowest polymorph listed for this composition (meV/atom) = 0
# - total DFT energy (no corrections) (eV/atom) = -5.0735
data_FeH2Pd2
_space_group_name_H-M_alt 'I 4/m m m'
_space_group_IT_number 139
_space_group_name_Hall '-I 4 2'
_cell_length_a 2.915
_cell_length_b 2.915
_cell_length_c 11.744
_cell_angle_alpha 90.00
_cell_angle_beta 90.00
_cell_angle_gamma 90.00
loop_
_atom_site_label
_atom_site_type_symbol
_atom_site_fract_x
_atom_site_fract_y
_atom_site_fract_z
Fe1 Fe 0.000 0.000 0.000
H1 H 0.000 0.500 0.250
Pd1 Pd 0.000 0.000 0.351

=====

Record 2
# Pr2TlRuC, relaxed, DFT PBE
# - calculated volume (A^3/atom) = 22.75
# - total DFT energy (no corrections) (eV/atom) = -6.3341
# - DFT formation energy (meV/atom) = -249.1
data_Pr2TlRuC
_space_group_name_H-M_alt 'P 4/m m m'
_space_group_IT_number 123
_space_group_name_Hall '-P 4 2'
_cell_length_a 5.363
_cell_length_b 5.363
_cell_length_c 3.955
_cell_angle_alpha 90.00
_cell_angle_beta 90.00
_cell_angle_gamma 90.00
loop_
_atom_site_label
_atom_site_type_symbol
_atom_site_fract_x
_atom_site_fract_y
_atom_site_fract_z
Pr1 Pr 0.000 0.500 0.000
Tl1 Tl 0.000 0.000 0.500
Ru1 Ru 0.500 0.500 0.500
C1 C 0.500 0.500 0.000

=====

Record 3
# Li2LaCdAg2, relaxed, DFT PBE
# - calculated volume (A^3/atom) = 21.77
# - total DFT energy (no corrections) (eV/atom) = -2.7815
# - DFT formation energy (meV/atom) = -219.4
data_Li2LaCdAg2
_space_group_name_H-M_alt 'P -3 m 1'
_space_group_IT_number 164
_space_group_name_Hall '-P 3 2"'
_cell_length_a 4.6912
_cell_length_b 4.6912
_cell_length_c 6.8520
_cell_angle_alpha 90.00
_cell_angle_beta 90.00
_cell_angle_gamma 120.00
loop_
_atom_site_label
_atom_site_type_symbol
_atom_site_fract_x
_atom_site_fract_y
_atom_site_fract_z
Li1 Li 0.3333 0.6667 0.1597
La1 La 0.0000 0.0000 0.5000
Cd1 Cd 0.0000 0.0000 0.0000
Ag1 Ag 0.3333 0.6667 0.7699

=====

Record 4
# InAs2Os, relaxed, DFT PBE
# - calculated volume (A^3/atom) = 18.19
# - total DFT energy (no corrections) (eV/atom) = -5.1695
# - DFT formation energy (meV/atom) = 647.3
data_InAs2Os
_space_group_name_H-M_alt 'P m m m'
_space_group_IT_number 47
_space_group_name_Hall '-P 2 2'
_cell_length_a 3.316
_cell_length_b 4.505
_cell_length_c 4.872
_cell_angle_alpha 90.00
_cell_angle_beta 90.00
_cell_angle_gamma 90.00
loop_
_atom_site_label
_atom_site_type_symbol
_atom_site_fract_x
_atom_site_fract_y
_atom_site_fract_z
In1 In 0.000 0.000 0.000
As1 As 0.000 0.500 0.500
As2 As 0.500 0.000 0.500
Os1 Os 0.500 0.500 0.000

=====

- Number 4 is which compound?
  InAs2Os

=====

- Among the records above, which one has the lowest total DFT energy (no corrections)?
  Pr2TlRuC

=====

- The lowest total DFT energy (no corrections) belongs to which entry?
  Pr2TlRuC

=====

- The highest calculated volume belongs to which entry?
  Pr2TlRuC